PaZnRh4 (PBE-GGA, optimized geometry); electronic total energy = -7.02 eV/atom; density of states at the Fermi level = 0.578 states/eV/atom
1.0
-0.946 -3.219 0.729
0.279 -2.762 -3.753
6.452 -3.465 1.157
Pa Zn Rh
1 1 4
direct
0.500 0.500 0.500 Pa
0.000 0.000 0.000 Zn
0.644 0.570 0.142 Rh
0.356 0.430 0.858 Rh
0.144 0.068 0.644 Rh
0.856 0.932 0.356 Rh

***

PaZnRh4 (PBE-GGA, optimized geometry); electronic total energy = -7.24 eV/atom; density of states at the Fermi level = 0.877 states/eV/atom
1.0
3.546 0.000 1.026
1.996 4.577 -0.257
0.118 -1.601 6.236
Pa Zn Rh
1 1 4
direct
0.500 0.500 0.500 Pa
0.000 0.000 0.000 Zn
0.821 0.518 0.839 Rh
0.346 0.995 0.314 Rh
0.179 0.482 0.161 Rh
0.654 0.005 0.686 Rh

***

PaZn2Rh (PBE-GGA, optimized geometry); electronic total energy = -5.33 eV/atom; density of states at the Fermi level = 0.581 states/eV/atom
1.0
4.503 -0.120 0.000
-1.333 4.820 0.000
0.000 0.000 6.720
Pa Zn Rh
2 4 2
direct
0.046 0.165 0.250 Pa
0.954 0.835 0.750 Pa
0.414 0.734 0.054 Zn
0.414 0.734 0.446 Zn
0.586 0.266 0.946 Zn
0.586 0.266 0.554 Zn
0.882 0.620 0.250 Rh
0.118 0.380 0.750 Rh

***

Pa2ZnRh8 (PBE-GGA, optimized geometry); electronic total energy = -7.63 eV/atom; density of states at the Fermi level = 1.018 states/eV/atom
1.0
4.564 0.000 0.000
0.000 4.969 -0.275
-2.282 -2.586 8.396
Pa Zn Rh
2 1 8
direct
0.839 0.321 0.678 Pa
0.161 0.679 0.322 Pa
0.500 0.000 0.000 Zn
0.422 0.477 0.844 Rh
0.657 0.088 0.315 Rh
0.750 0.671 0.500 Rh
0.962 0.194 0.923 Rh
0.250 0.329 0.500 Rh
0.343 0.912 0.685 Rh
0.578 0.523 0.156 Rh
0.038 0.806 0.077 Rh

***

Pa2ZnRh (PBE-GGA, optimized geometry); electronic total energy = -6.76 eV/atom; density of states at the Fermi level = 1.834 states/eV/atom
1.0
-0.489 2.709 1.383
0.318 0.250 3.054
10.411 3.539 0.181
Zn Pa Rh
1 2 1
direct
0.000 0.000 0.000 Zn
0.095 0.095 0.716 Pa
0.905 0.905 0.284 Pa
0.500 0.500 0.500 Rh

***

PaZn2Rh3 (PBE-GGA, optimized geometry); electronic total energy = -6.37 eV/atom; density of states at the Fermi level = 0.324 states/eV/atom
1.0
3.611 0.000 0.000
0.000 4.296 0.000
0.000 0.000 12.466
Pa Zn Rh
2 4 6
direct
0.000 0.500 0.500 Pa
0.000 0.000 0.000 Pa
0.000 0.000 0.678 Zn
0.000 0.000 0.322 Zn
0.000 0.500 0.178 Zn
0.000 0.500 0.822 Zn
0.500 0.500 0.664 Rh
0.500 0.000 0.500 Rh
0.500 0.500 0.336 Rh
0.500 0.000 0.164 Rh
0.500 0.500 0.000 Rh
0.500 0.000 0.836 Rh

***

PaZn5Rh6 (PBE-GGA, optimized geometry); electronic total energy = -5.59 eV/atom; density of states at the Fermi level = 0.339 states/eV/atom
1.0
4.174 -0.025 1.395
0.034 6.260 0.011
0.036 -0.012 6.869
Zn Pa Rh
5 1 6
direct
0.668 0.500 0.665 Zn
0.328 0.000 0.344 Zn
0.000 0.500 0.000 Zn
0.672 0.000 0.656 Zn
0.332 0.500 0.335 Zn
0.000 0.000 0.000 Pa
0.833 0.746 0.335 Rh
0.833 0.254 0.335 Rh
0.500 0.263 0.000 Rh
0.500 0.737 0.000 Rh
0.167 0.746 0.665 Rh
0.167 0.254 0.665 Rh

***

PaZnRh6 (PBE-GGA, optimized geometry); electronic total energy = -7.35 eV/atom; density of states at the Fermi level = 0.831 states/eV/atom
1.0
3.944 0.000 0.000
0.000 5.606 -0.036
0.000 0.035 5.606
Pa Zn Rh
1 1 6
direct
0.500 0.000 0.000 Pa
0.500 0.500 0.500 Zn
0.000 0.742 0.258 Rh
0.000 0.258 0.742 Rh
0.000 0.742 0.742 Rh
0.000 0.258 0.258 Rh
0.500 0.500 0.000 Rh
0.500 0.000 0.500 Rh

***

Pa2ZnRh (PBE-GGA, optimized geometry); electronic total energy = -7.21 eV/atom; density of states at the Fermi level = 1.385 states/eV/atom
1.0
-3.525 1.854 -1.460
-1.849 -0.444 3.901
1.552 3.878 1.177
Zn Pa Rh
1 2 1
direct
0.500 0.500 0.500 Zn
0.000 0.000 0.500 Pa
0.000 0.500 0.000 Pa
0.500 0.000 0.000 Rh

***

PaZnRh2 (PBE-GGA, optimized geometry); electronic total energy = -7.02 eV/atom; density of states at the Fermi level = 1.012 states/eV/atom
1.0
3.713 0.000 0.000
0.000 4.311 0.000
0.000 0.000 4.311
Zn Pa Rh
1 1 2
direct
0.500 0.000 0.000 Zn
0.500 0.500 0.500 Pa
0.000 0.000 0.500 Rh
0.000 0.500 0.000 Rh

***

PaZnRh2 (PBE-GGA, optimized geometry); electronic total energy = -6.91 eV/atom; density of states at the Fermi level = 1.294 states/eV/atom
1.0
3.295 0.000 0.000
0.000 3.295 0.000
0.000 0.000 6.392
Zn Pa Rh
1 1 2
direct
0.500 0.500 0.000 Zn
0.500 0.500 0.500 Pa
0.000 0.000 0.776 Rh
0.000 0.000 0.224 Rh

***

Pa2ZnRh9 (PBE-GGA, optimized geometry); electronic total energy = -7.82 eV/atom; density of states at the Fermi level = 1.097 states/eV/atom
1.0
4.032 0.000 0.000
0.000 4.032 0.000
0.000 0.000 11.731
Pa Zn Rh
2 1 9
direct
0.000 0.000 0.324 Pa
0.000 0.000 0.676 Pa
0.000 0.000 0.000 Zn
0.500 0.500 0.000 Rh
0.500 0.500 0.328 Rh
0.500 0.500 0.672 Rh
0.500 0.000 0.155 Rh
0.500 0.000 0.500 Rh
0.500 0.000 0.845 Rh
0.000 0.500 0.155 Rh
0.000 0.500 0.500 Rh
0.000 0.500 0.845 Rh

***

- density of states at the Fermi level of number 2 (PaZnRh4)?
  0.877 states/eV/atom